! PrCd2Ag (PBE, relaxed); values from VASP
&SYSTEM
  ibrav = 0, nat = 16, ntyp = 3
/
ATOMIC_SPECIES
Pr 140.91 Pr.upf
Cd 112.41 Cd.upf
Ag 107.87 Ag.upf
CELL_PARAMETERS angstrom
7.245 0.000 0.000
0.000 7.245 0.000
0.000 0.000 7.245
ATOMIC_POSITIONS crystal
Pr 0.000 0.000 0.000
Pr 0.000 0.500 0.500
Pr 0.500 0.000 0.500
Pr 0.500 0.500 0.000
Cd 0.250 0.250 0.250
Cd 0.250 0.250 0.750
Cd 0.250 0.750 0.250
Cd 0.250 0.750 0.750
Cd 0.750 0.250 0.250
Cd 0.750 0.250 0.750
Cd 0.750 0.750 0.250
Cd 0.750 0.750 0.750
Ag 0.000 0.000 0.500
Ag 0.000 0.500 0.000
Ag 0.500 0.000 0.000
Ag 0.500 0.500 0.500
! mass density = 8.27 Mg/m³
! Fermi-level density of states = 11.75 states/eV/cell
! ΔH_f (0 K) = -255 meV per atom
! final energy = -2.620 eV/atom
! SG = Fm-3m (225)
! V = 23.769 Å³/atom